No. 1
# BaSr2Cl (PBEsol, optimized geometry)
data_BaSr2Cl
_chemical_formula_sum 'Ba3 Sr6 Cl3'
_symmetry_space_group_name_H-M 'R -3 m'
_symmetry_Int_Tables_number 166
_symmetry_space_group_name_Hall '-R 3 2"'
_cell_length_a 4.1378
_cell_length_b 4.1378
_cell_length_c 33.4853
_cell_angle_alpha 90.00
_cell_angle_beta 90.00
_cell_angle_gamma 120.00
loop_
_atom_site_label
_atom_site_type_symbol
_atom_site_fract_x
_atom_site_fract_y
_atom_site_fract_z
Ba1 Ba 0.0000 0.0000 0.0000
Sr1 Sr 0.0000 0.0000 0.2292
Cl1 Cl 0.0000 0.0000 0.5000
# DOS(E_F) (states/eV per atom): 0.980
# ΔE_f (raw) (kJ/mol of atoms): -81.2
# VASP energy (eV/atom): -2.8013
# M_tot (μB per formula unit): 0.00

No. 2
# Ba2SrCl (PBEsol, optimized geometry)
data_Ba2SrCl
_chemical_formula_sum 'Ba2 Sr1 Cl1'
_symmetry_space_group_name_H-M 'P 4 m m'
_symmetry_Int_Tables_number 99
_cell_length_a 4.336
_cell_length_b 4.336
_cell_length_c 10.725
_cell_angle_alpha 90.00
_cell_angle_beta 90.00
_cell_angle_gamma 90.00
loop_
_symmetry_equiv_pos_as_xyz
'x,y,z'
'-y,x,z'
'-x,-y,z'
'y,-x,z'
'-x,y,z'
'y,x,z'
'x,-y,z'
'-y,-x,z'
loop_
_atom_site_label
_atom_site_type_symbol
_atom_site_fract_x
_atom_site_fract_y
_atom_site_fract_z
Ba1 Ba 0.000 0.000 0.000
Ba2 Ba 0.500 0.500 0.305
Sr1 Sr 0.500 0.500 0.716
Cl1 Cl 0.000 0.000 0.307
# DOS(E_F) (states/eV per atom): 1.436
# ΔE_f (raw) (kJ/mol of atoms): -73.0
# VASP energy (eV/atom): -2.7930
# M_tot (μB per formula unit): 0.63

No. 3
# Ba2TaCl (PBEsol, optimized geometry)
data_Ba2TaCl
_chemical_formula_sum 'Ba8 Ta4 Cl4'
_symmetry_space_group_name_H-M 'F m -3 m'
_symmetry_Int_Tables_number 225
_symmetry_space_group_name_Hall '-F 4 2 3'
_cell_length_a 8.074
_cell_length_b 8.074
_cell_length_c 8.074
_cell_angle_alpha 90.00
_cell_angle_beta 90.00
_cell_angle_gamma 90.00
loop_
_atom_site_label
_atom_site_type_symbol
_atom_site_fract_x
_atom_site_fract_y
_atom_site_fract_z
Ba1 Ba 0.250 0.250 0.250
Ta1 Ta 0.000 0.000 0.000
Cl1 Cl 0.000 0.000 0.500
# DOS(E_F) (states/eV per atom): 0.875
# ΔE_f (raw) (kJ/mol of atoms): 39.1
# VASP energy (eV/atom): -4.3088
# M_tot (μB per formula unit): 4.75